# 1
MgTi2H2 after structural relaxation. Source: Alexandria via LeMat-Bulk, functional GGA-PBE.

Lattice parameters (Å, degrees): 3.520 3.520 9.621 90.00 90.00 90.00
Space group I4/mmm (No. 139)
One atom of each set of equivalent atoms:
Mg: 0.000 0.000 0.000 (multiplicity 2)
Ti: 0.000 0.000 0.326 (multiplicity 4)
H: 0.000 0.500 0.250 (multiplicity 4)

The calculation puts the density at 3.4 g/cm³. The calculation puts the energy at -5.03 eV/atom.

---

# 2
Mg2TiTlH after structural relaxation. Source: Alexandria via LeMat-Bulk, functional GGA-PBE.

Lattice parameters (Å, degrees): 4.387 4.387 4.203 90.00 90.00 90.00
Space group P4/mmm (No. 123)
One atom of each set of equivalent atoms:
Mg: 0.000 0.500 0.000 (multiplicity 2)
Ti: 0.000 0.000 0.500 (multiplicity 1)
Tl: 0.500 0.500 0.500 (multiplicity 1)
H: 0.000 0.000 0.000 (multiplicity 1)

The calculation puts the density at 6.2 g/cm³. The calculation puts the energy at -3.38 eV/atom.

---

# 3
MgTi2VH after structural relaxation. Source: Alexandria via LeMat-Bulk, functional GGA-PBE.

Lattice parameters (Å, degrees): 4.191 4.191 3.887 90.00 90.00 90.00
Space group P4/mmm (No. 123)
One atom of each set of equivalent atoms:
Mg: 0.000 0.000 0.000 (multiplicity 1)
Ti: 0.000 0.500 0.500 (multiplicity 2)
V: 0.500 0.500 0.000 (multiplicity 1)
H: 0.500 0.500 0.500 (multiplicity 1)

The calculation puts the density at 4.2 g/cm³. The calculation puts the energy at -5.94 eV/atom.

---

# 4
Y2MgTiH after structural relaxation. Source: Alexandria via LeMat-Bulk, functional GGA-PBE.

Lattice parameters (Å, degrees): 5.121 5.121 4.003 90.00 90.00 90.00
Space group P4/mmm (No. 123)
One atom of each set of equivalent atoms:
Y: 0.000 0.500 0.000 (multiplicity 2)
Mg: 0.000 0.000 0.500 (multiplicity 1)
Ti: 0.500 0.500 0.500 (multiplicity 1)
H: 0.500 0.500 0.000 (multiplicity 1)

The calculation puts the density at 4.0 g/cm³. The calculation puts the energy at -5.22 eV/atom.

---

# 5
Mg2TiZnH after structural relaxation. Source: Alexandria via LeMat-Bulk, functional GGA-PBE.

Lattice parameters (Å, degrees): 4.296 4.296 3.963 90.00 90.00 90.00
Space group P4/mmm (No. 123)
One atom of each set of equivalent atoms:
Mg: 0.000 0.500 0.000 (multiplicity 2)
Ti: 0.000 0.000 0.500 (multiplicity 1)
Zn: 0.500 0.500 0.500 (multiplicity 1)
H: 0.000 0.000 0.000 (multiplicity 1)

The calculation puts the density at 3.7 g/cm³. The calculation puts the energy at -3.19 eV/atom.

---

# 6
MgTi2ZnH after structural relaxation. Source: Alexandria via LeMat-Bulk, functional GGA-PBE.

Lattice parameters (Å, degrees): 3.984 3.984 4.349 90.00 90.00 90.00
Space group P4/mmm (No. 123)
One atom of each set of equivalent atoms:
Mg: 0.000 0.000 0.000 (multiplicity 1)
Ti: 0.000 0.500 0.500 (multiplicity 2)
Zn: 0.500 0.500 0.000 (multiplicity 1)
H: 0.000 0.000 0.500 (multiplicity 1)

The calculation puts the density at 4.5 g/cm³. The value obtained for the energy above the most stable polymorph in this dataset is 0.0 meV per atom.

---

# 7
MgZr2TiH after structural relaxation. Source: Alexandria via LeMat-Bulk, functional GGA-PBE.

Lattice parameters (Å, degrees): 4.456 4.456 4.277 90.00 90.00 90.00
Space group P4/mmm (No. 123)
One atom of each set of equivalent atoms:
Mg: 0.000 0.000 0.000 (multiplicity 1)
Zr: 0.000 0.500 0.500 (multiplicity 2)
Ti: 0.500 0.500 0.000 (multiplicity 1)
H: 0.500 0.500 0.500 (multiplicity 1)

The calculation puts the density at 5.0 g/cm³. The value obtained for the energy above the most stable polymorph in this dataset is 0.0 meV per atom.

---

# 8
MgZrTi2H after structural relaxation. Source: Alexandria via LeMat-Bulk, functional GGA-PBE.

Lattice parameters (Å, degrees): 4.244 4.244 4.338 90.00 90.00 90.00
Space group P4/mmm (No. 123)
One atom of each set of equivalent atoms:
Mg: 0.000 0.000 0.000 (multiplicity 1)
Zr: 0.500 0.500 0.000 (multiplicity 1)
Ti: 0.000 0.500 0.500 (multiplicity 2)
H: 0.000 0.000 0.500 (multiplicity 1)

The calculation puts the density at 4.5 g/cm³. The value obtained for the energy above the most stable polymorph in this dataset is 77.2 meV per atom.